# 1
A plane-wave DFT calculation with GGA-PBE was carried out for a geometry-optimized CsHf4Os2 structure.

M_tot ... 0.00 μB/cell
VASP energy ... -7.378 eV per atom
Formation energy ... 158.2 kJ per mole of atoms

Structure (CIF):
```
data_CsHf4Os2
_cell_length_a 5.1661
_cell_length_b 5.1661
_cell_length_c 13.2375
_cell_angle_alpha 90.00
_cell_angle_beta 90.00
_cell_angle_gamma 90.00
_space_group_name_H-M_alt 'I 4/m m m'
_space_group_IT_number 139
_space_group_name_Hall '-I 4 2'
loop_
_atom_site_label
_atom_site_type_symbol
_atom_site_fract_x
_atom_site_fract_y
_atom_site_fract_z
Cs1 Cs 0.0000 0.0000 0.0000
Hf1 Hf 0.0000 0.0000 0.2152
Hf2 Hf 0.0000 0.5000 0.0000
Os1 Os 0.0000 0.0000 0.3971
```


# 2
A plane-wave DFT calculation with GGA-PBE was carried out for a geometry-optimized CsHfOs2 structure.

Energy above the most stable polymorph in this dataset ... 0 meV per atom
M_tot ... 0.00 μB/cell
VASP energy ... -6.943 eV per atom
Formation energy ... 132.5 kJ per mole of atoms

Structure (CIF):
```
data_CsHfOs2
_cell_length_a 5.0767
_cell_length_b 5.0767
_cell_length_c 18.1346
_cell_angle_alpha 90.00
_cell_angle_beta 90.00
_cell_angle_gamma 90.00
_space_group_name_H-M_alt 'I -4 2 d'
_space_group_IT_number 122
_space_group_name_Hall 'I -4 2bw'
loop_
_atom_site_label
_atom_site_type_symbol
_atom_site_fract_x
_atom_site_fract_y
_atom_site_fract_z
Cs1 Cs 0.0000 0.0000 0.0000
Hf1 Hf 0.0000 0.0000 0.5000
Os1 Os 0.0258 0.2500 0.6250
```


# 3
A plane-wave DFT calculation with GGA-PBE was carried out for a geometry-optimized CsHf3Os structure.

Energy above the most stable polymorph in this dataset ... 0 meV per atom
M_tot ... 0.00 μB/cell
VASP energy ... -7.735 eV per atom
Formation energy ... 63.0 kJ per mole of atoms

Structure (CIF):
```
data_CsHf3Os
_cell_length_a 5.2057
_cell_length_b 5.2057
_cell_length_c 5.2057
_cell_angle_alpha 90.00
_cell_angle_beta 90.00
_cell_angle_gamma 90.00
_space_group_name_H-M_alt 'P m -3 m'
_space_group_IT_number 221
_space_group_name_Hall '-P 4 2 3'
loop_
_atom_site_label
_atom_site_type_symbol
_atom_site_fract_x
_atom_site_fract_y
_atom_site_fract_z
Cs1 Cs 0.0000 0.0000 0.0000
Hf1 Hf 0.0000 0.5000 0.5000
Os1 Os 0.5000 0.5000 0.5000
```


# 4
A plane-wave DFT calculation with GGA-PBE was carried out for a geometry-optimized CsHfOs3 structure.

M_tot ... 0.00 μB/cell
VASP energy ... -5.467 eV per atom
Formation energy ... 331.1 kJ per mole of atoms

Structure (CIF):
```
data_CsHfOs3
_cell_length_a 4.8530
_cell_length_b 4.8530
_cell_length_c 4.8530
_cell_angle_alpha 90.00
_cell_angle_beta 90.00
_cell_angle_gamma 90.00
_space_group_name_H-M_alt 'P m -3 m'
_space_group_IT_number 221
_space_group_name_Hall '-P 4 2 3'
loop_
_atom_site_label
_atom_site_type_symbol
_atom_site_fract_x
_atom_site_fract_y
_atom_site_fract_z
Cs1 Cs 0.0000 0.0000 0.0000
Hf1 Hf 0.5000 0.5000 0.5000
Os1 Os 0.0000 0.0000 0.5000
```


# 5
A plane-wave DFT calculation with GGA-PBE was carried out for a geometry-optimized CsHf2Os structure.

Energy above the most stable polymorph in this dataset ... 0 meV per atom
M_tot ... 0.00 μB/cell
VASP energy ... -6.936 eV per atom
Formation energy ... 102.4 kJ per mole of atoms

Structure (CIF):
```
data_CsHf2Os
_cell_length_a 7.0101
_cell_length_b 7.0101
_cell_length_c 7.0101
_cell_angle_alpha 90.00
_cell_angle_beta 90.00
_cell_angle_gamma 90.00
_space_group_name_H-M_alt 'F m -3 m'
_space_group_IT_number 225
_space_group_name_Hall '-F 4 2 3'
loop_
_atom_site_label
_atom_site_type_symbol
_atom_site_fract_x
_atom_site_fract_y
_atom_site_fract_z
Cs1 Cs 0.0000 0.0000 0.0000
Hf1 Hf 0.2500 0.2500 0.2500
Os1 Os 0.0000 0.0000 0.5000
```


# 6
A plane-wave DFT calculation with GGA-PBE was carried out for a geometry-optimized Cs3HfOs structure.

Energy above the most stable polymorph in this dataset ... 0 meV per atom
M_tot ... 2.79 μB/cell
VASP energy ... -2.696 eV per atom
Formation energy ... 198.1 kJ per mole of atoms

Structure (CIF):
```
data_Cs3HfOs
_cell_length_a 6.1135
_cell_length_b 6.1135
_cell_length_c 6.1135
_cell_angle_alpha 90.00
_cell_angle_beta 90.00
_cell_angle_gamma 90.00
_space_group_name_H-M_alt 'P m -3 m'
_space_group_IT_number 221
_space_group_name_Hall '-P 4 2 3'
loop_
_atom_site_label
_atom_site_type_symbol
_atom_site_fract_x
_atom_site_fract_y
_atom_site_fract_z
Cs1 Cs 0.0000 0.0000 0.5000
Hf1 Hf 0.5000 0.5000 0.5000
Os1 Os 0.0000 0.0000 0.0000
```


# 7
A plane-wave DFT calculation with GGA-PBE was carried out for a geometry-optimized CsHf2Os structure.

Energy above the most stable polymorph in this dataset ... 84 meV per atom
M_tot ... 0.00 μB/cell
VASP energy ... -6.852 eV per atom
Formation energy ... 110.6 kJ per mole of atoms

Structure (CIF):
```
data_CsHf2Os
_cell_length_a 6.6819
_cell_length_b 6.6819
_cell_length_c 14.9221
_cell_angle_alpha 90.00
_cell_angle_beta 90.00
_cell_angle_gamma 90.00
_space_group_name_H-M_alt 'I 41/a m d'
_space_group_IT_number 141
loop_
_space_group_symop_operation_xyz
'x,y,z'
'-x,-y,-z'
'-y+1/4,x+3/4,z+1/4'
'y+1/4,-x+3/4,-z+1/4'
'-x+1/2,-y,z+1/2'
'x+1/2,y,-z+1/2'
'y+1/4,-x+1/4,z+3/4'
'-y+1/4,x+1/4,-z+3/4'
'x,-y,-z'
'-x,y,z'
'-y+1/4,-x+1/4,-z+3/4'
'y+1/4,x+1/4,z+3/4'
'-x+1/2,y,-z+1/2'
'x+1/2,-y,z+1/2'
'y+1/4,x+3/4,-z+1/4'
'-y+1/4,-x+3/4,z+1/4'
'x+1/2,y+1/2,z+1/2'
'-x+1/2,-y+1/2,-z+1/2'
'-y+3/4,x+1/4,z+3/4'
'y+3/4,-x+1/4,-z+3/4'
'-x,-y+1/2,z'
'x,y+1/2,-z'
'y+3/4,-x+3/4,z+1/4'
'-y+3/4,x+3/4,-z+1/4'
'x+1/2,-y+1/2,-z+1/2'
'-x+1/2,y+1/2,z+1/2'
'-y+3/4,-x+3/4,-z+1/4'
'y+3/4,x+3/4,z+1/4'
'-x,y+1/2,-z'
'x,-y+1/2,z'
'y+3/4,x+1/4,-z+3/4'
'-y+3/4,-x+1/4,z+3/4'
loop_
_atom_site_label
_atom_site_type_symbol
_atom_site_fract_x
_atom_site_fract_y
_atom_site_fract_z
Cs1 Cs 0.0000 0.2500 0.3750
Hf1 Hf 0.0000 0.0000 0.0000
Os1 Os 0.0000 0.2500 0.8750
```


# 8
A plane-wave DFT calculation with GGA-PBE was carried out for a geometry-optimized Cs2HfOs structure.

M_tot ... 0.04 μB/cell
VASP energy ... -3.370 eV per atom
Formation energy ... 227.0 kJ per mole of atoms

Structure (CIF):
```
data_Cs2HfOs
_cell_length_a 7.6178
_cell_length_b 7.6178
_cell_length_c 7.6178
_cell_angle_alpha 90.00
_cell_angle_beta 90.00
_cell_angle_gamma 90.00
_space_group_name_H-M_alt 'F m -3 m'
_space_group_IT_number 225
_space_group_name_Hall '-F 4 2 3'
loop_
_atom_site_label
_atom_site_type_symbol
_atom_site_fract_x
_atom_site_fract_y
_atom_site_fract_z
Cs1 Cs 0.2500 0.2500 0.2500
Hf1 Hf 0.0000 0.0000 0.0000
Os1 Os 0.0000 0.0000 0.5000
```


# 9
A plane-wave DFT calculation with GGA-PBE was carried out for a geometry-optimized CsHfOs2 structure.

Energy above the most stable polymorph in this dataset ... 145 meV per atom
M_tot ... 0.00 μB/cell
VASP energy ... -6.799 eV per atom
Formation energy ... 146.5 kJ per mole of atoms

Structure (CIF):
```
data_CsHfOs2
_cell_length_a 6.8538
_cell_length_b 6.8538
_cell_length_c 6.8538
_cell_angle_alpha 90.00
_cell_angle_beta 90.00
_cell_angle_gamma 90.00
_space_group_name_H-M_alt 'F m -3 m'
_space_group_IT_number 225
_space_group_name_Hall '-F 4 2 3'
loop_
_atom_site_label
_atom_site_type_symbol
_atom_site_fract_x
_atom_site_fract_y
_atom_site_fract_z
Cs1 Cs 0.0000 0.0000 0.0000
Hf1 Hf 0.0000 0.0000 0.5000
Os1 Os 0.2500 0.2500 0.2500
```


# 10
A plane-wave DFT calculation with GGA-PBE was carried out for a geometry-optimized CsHf3Os structure.

Energy above the most stable polymorph in this dataset ... 2221 meV per atom
M_tot ... 0.00 μB/cell
VASP energy ... -5.514 eV per atom
Formation energy ... 277.3 kJ per mole of atoms

Structure (CIF):
```
data_CsHf3Os
_cell_length_a 5.0709
_cell_length_b 5.0709
_cell_length_c 5.0709
_cell_angle_alpha 90.00
_cell_angle_beta 90.00
_cell_angle_gamma 90.00
_space_group_name_H-M_alt 'P m -3 m'
_space_group_IT_number 221
_space_group_name_Hall '-P 4 2 3'
loop_
_atom_site_label
_atom_site_type_symbol
_atom_site_fract_x
_atom_site_fract_y
_atom_site_fract_z
Cs1 Cs 0.0000 0.0000 0.0000
Hf1 Hf 0.0000 0.0000 0.5000
Os1 Os 0.5000 0.5000 0.5000
```


# 11
A plane-wave DFT calculation with GGA-PBE was carried out for a geometry-optimized CsHfOs2Pt structure.

M_tot ... 0.00 μB/cell
VASP energy ... -4.845 eV per atom
Formation energy ... 291.1 kJ per mole of atoms

Structure (CIF):
```
data_CsHfOs2Pt
_cell_length_a 4.9084
_cell_length_b 4.9084
_cell_length_c 4.9334
_cell_angle_alpha 90.00
_cell_angle_beta 90.00
_cell_angle_gamma 90.00
_space_group_name_H-M_alt 'P 4/m m m'
_space_group_IT_number 123
_space_group_name_Hall '-P 4 2'
loop_
_atom_site_label
_atom_site_type_symbol
_atom_site_fract_x
_atom_site_fract_y
_atom_site_fract_z
Cs1 Cs 0.0000 0.0000 0.0000
Hf1 Hf 0.5000 0.5000 0.5000
Os1 Os 0.0000 0.5000 0.0000
Pt1 Pt 0.0000 0.0000 0.5000
```


# 12
A plane-wave DFT calculation with GGA-PBE was carried out for a geometry-optimized CsHfTaOs2 structure.

Energy above the most stable polymorph in this dataset ... 2 meV per atom
M_tot ... 0.00 μB/cell
VASP energy ... -6.799 eV per atom
Formation energy ... 214.6 kJ per mole of atoms

Structure (CIF):
```
data_CsHfTaOs2
_cell_length_a 4.8617
_cell_length_b 4.8617
_cell_length_c 5.3285
_cell_angle_alpha 90.00
_cell_angle_beta 90.00
_cell_angle_gamma 90.00
_space_group_name_H-M_alt 'P 4/m m m'
_space_group_IT_number 123
_space_group_name_Hall '-P 4 2'
loop_
_atom_site_label
_atom_site_type_symbol
_atom_site_fract_x
_atom_site_fract_y
_atom_site_fract_z
Cs1 Cs 0.0000 0.0000 0.0000
Hf1 Hf 0.5000 0.5000 0.0000
Ta1 Ta 0.0000 0.0000 0.5000
Os1 Os 0.0000 0.5000 0.5000
```